No. 1
Here is ThBe2I8 after structural relaxation from the Alexandria database. Energies are from PBE.

abc: 8.299 9.113 8.299
angles: 99.39 95.99 99.39
Atoms (fractional coordinates):
Th 0.000 0.000 0.000
Be 0.184 0.328 0.184
Be 0.816 0.672 0.816
I 0.801 0.735 0.122
I 0.878 0.265 0.199
I 0.314 0.561 0.314
I 0.686 0.439 0.686
I 0.122 0.735 0.801
I 0.199 0.265 0.878
I 0.286 0.107 0.286
I 0.714 0.893 0.714

energy: -3.261 eV per atom
ΔE_f (raw): -0.78 eV/atom
magnetization: 0.05 μB/f.u.
symmetry: No. 12
crystal system: monoclinic

***

No. 2
Here is Th4BeI5 after structural relaxation from the Alexandria database. Energies are from PBE.

abc: 4.125 9.206 9.743
angles: 101.27 102.22 90.00
Atoms (fractional coordinates):
Th 0.353 0.939 0.706
Th 0.001 0.801 0.003
Th 0.647 0.061 0.294
Th 0.999 0.199 0.997
Be 0.500 0.000 0.000
I 0.833 0.664 0.666
I 0.828 0.197 0.656
I 0.172 0.803 0.344
I 0.500 0.500 0.000
I 0.167 0.336 0.334

energy: -4.851 eV per atom
ΔE_f (raw): -0.73 eV/atom
magnetization: 0.00 μB/f.u.
symmetry: No. 12
crystal system: monoclinic

***

No. 3
Here is TiBeI2 after structural relaxation from the Alexandria database. Energies are from PBE.

abc: 6.161 6.161 7.262
angles: 64.90 64.90 90.00
Last column: magnetic moment on the atom in μB.
Atoms (fractional coordinates):
I 0.582 0.125 0.250  0.00
I 0.168 0.625 0.250  0.01
I 0.375 0.418 0.750  0.00
I 0.875 0.832 0.750  0.00
Be 0.500 0.500 0.000  0.07
Be 0.250 0.750 0.500  0.07
Ti 0.000 0.000 0.000  1.86
Ti 0.750 0.250 0.500  1.86

energy: -3.163 eV per atom
ΔE_f (raw): 0.52 eV/atom
magnetization: 2.91 μB/f.u.
symmetry: No. 122
energy above the lowest structure with this stoichiometry: 0.000 eV per atom
crystal system: tetragonal

***

No. 4
Here is TiBeI2 after structural relaxation from the Alexandria database. Energies are from PBE.

abc: 5.058 5.058 5.058
angles: 60.00 60.00 60.00
Last column: magnetic moment on the atom in μB.
Atoms (fractional coordinates):
I 0.250 0.250 0.250  -0.04
I 0.750 0.750 0.750  -0.04
Be 0.000 0.000 0.000  0.01
Ti 0.500 0.500 0.500  1.53

energy: -3.130 eV per atom
ΔE_f (raw): 0.55 eV/atom
magnetization: 1.97 μB/f.u.
symmetry: No. 225
energy above the lowest structure with this stoichiometry: 0.033 eV per atom
crystal system: cubic

***

No. 5
Here is TiBeI after structural relaxation from the Alexandria database. Energies are from PBE.

abc: 3.530 3.530 12.031
angles: 90.00 90.00 120.00
Atoms (fractional coordinates):
Be 0.834 0.667 0.000
Be 0.499 0.997 0.500
I 0.500 0.001 0.281
I 0.500 0.001 0.719
Ti 0.167 0.334 0.878
Ti 0.167 0.334 0.122

energy: -4.000 eV per atom
ΔE_f (raw): 0.39 eV/atom
magnetization: 0.00 μB/f.u.
symmetry: No. 38
crystal system: orthorhombic

***

No. 6
Here is Ti2BeVI after structural relaxation from the Alexandria database. Energies are from PBE.

abc: 4.934 4.853 4.934
angles: 90.00 90.00 90.00
Last column: magnetic moment on the atom in μB.
Atoms (fractional coordinates):
I 0.000 0.000 0.000  0.01
Be 0.500 0.500 0.500  -0.05
Ti 0.000 0.000 0.500  0.56
Ti 0.500 0.000 0.000  0.64
V 0.000 0.500 0.000  2.19

energy: -4.529 eV per atom
ΔE_f (raw): 1.51 eV/atom
magnetization: 3.92 μB/f.u.
symmetry: No. 123
crystal system: tetragonal

***

No. 7
Here is BeTl2I after structural relaxation from the Alexandria database. Energies are from PBE.

abc: 5.652 5.652 5.652
angles: 60.00 60.00 60.00
Atoms (fractional coordinates):
I 0.500 0.500 0.500
Be 0.000 0.000 0.000
Tl 0.250 0.250 0.250
Tl 0.750 0.750 0.750

energy: -1.973 eV per atom
ΔE_f (raw): 0.53 eV/atom
magnetization: 0.00 μB/f.u.
symmetry: No. 225
energy above the lowest structure with this stoichiometry: 0.286 eV per atom
crystal system: cubic

***

No. 8
Here is BeTlI3 after structural relaxation from the Alexandria database. Energies are from PBE.

abc: 8.041 9.116 11.368
angles: 90.00 91.54 90.00
Atoms (fractional coordinates):
Be 0.395 0.661 0.097
Be 0.105 0.161 0.403
Be 0.605 0.339 0.903
Be 0.895 0.839 0.597
Tl 0.949 0.633 0.268
Tl 0.551 0.133 0.232
Tl 0.051 0.367 0.732
Tl 0.449 0.867 0.768
I 0.133 0.702 0.567
I 0.367 0.202 0.933
I 0.867 0.298 0.433
I 0.633 0.798 0.067
I 0.875 0.994 0.756
I 0.625 0.494 0.744
I 0.125 0.006 0.244
I 0.375 0.506 0.256
I 0.674 0.813 0.464
I 0.826 0.313 0.036
I 0.326 0.187 0.536
I 0.174 0.687 0.964

energy: -2.717 eV per atom
ΔE_f (raw): -0.57 eV/atom
magnetization: 0.00 μB/f.u.
symmetry: No. 14
energy above the lowest structure with this stoichiometry: 0.000 eV per atom
crystal system: monoclinic

***

No. 9
Here is BeTl4I6 after structural relaxation from the Alexandria database. Energies are from PBE.

abc: 8.449 8.978 16.732
angles: 72.24 75.38 61.93
Atoms (fractional coordinates):
Be 0.663 0.775 0.409
Be 0.152 0.275 0.909
Tl 0.331 0.991 0.609
Tl 0.069 0.491 0.109
Tl 0.809 0.298 0.432
Tl 0.461 0.798 0.932
Tl 0.963 0.634 0.678
Tl 0.726 0.134 0.178
Tl 0.696 0.214 0.812
Tl 0.278 0.714 0.312
I 0.418 0.551 0.130
I 0.900 0.051 0.630
I 0.434 0.680 0.496
I 0.389 0.180 0.996
I 0.557 0.083 0.399
I 0.961 0.583 0.899
I 0.988 0.098 0.968
I 0.946 0.598 0.468
I 0.060 0.141 0.253
I 0.546 0.641 0.753
I 0.304 0.221 0.768
I 0.706 0.721 0.268

energy: -2.653 eV per atom
ΔE_f (raw): -0.61 eV/atom
magnetization: 0.00 μB/f.u.
symmetry: No. 9
crystal system: monoclinic

***

No. 10
Here is BeTl2I after structural relaxation from the Alexandria database. Energies are from PBE.

abc: 6.432 6.432 8.187
angles: 66.87 66.87 90.00
Atoms (fractional coordinates):
I 0.000 0.000 0.000
I 0.750 0.250 0.500
Be 0.500 0.500 0.000
Be 0.250 0.750 0.500
Tl 0.499 0.125 0.250
Tl 0.251 0.625 0.250
Tl 0.375 0.501 0.750
Tl 0.875 0.749 0.750

energy: -2.259 eV per atom
ΔE_f (raw): 0.24 eV/atom
magnetization: 0.00 μB/f.u.
symmetry: No. 122
energy above the lowest structure with this stoichiometry: 0.000 eV per atom
crystal system: tetragonal